(1)
VASP calculation (GGA-PBE) on a geometry-optimized LaPr3Tm2Se6 structure.

The structure in POSCAR format:
```
LaPr3Tm2Se6
1.0
3.601 -6.258 0.000
3.601 6.258 0.000
-2.416 0.000 6.940
La Pr Tm Se
1 3 2 6
Direct
0.000 0.000 0.000
0.158 0.842 0.500
0.500 0.500 0.500
0.842 0.158 0.500
0.333 0.667 0.000
0.667 0.333 0.000
0.079 0.428 0.237
0.272 0.272 0.771
0.428 0.079 0.237
0.572 0.921 0.763
0.728 0.728 0.229
0.921 0.572 0.763
```

## Properties
Calculated volume: 26.1 Å³ per atom
SG: C2/m (12)
Total moment: 0.0 μB per cell


(2)
VASP calculation (GGA-PBE) on a geometry-optimized La3Pr3TmSe8 structure.

The structure in POSCAR format:
```
La3Pr3TmSe8
1.0
4.255 2.456 7.000
-4.255 2.456 7.000
0.000 -4.913 7.000
La Pr Tm Se
3 3 1 8
Direct
0.000 0.500 0.500
0.500 0.000 0.500
0.500 0.500 0.000
0.000 0.000 0.500
0.000 0.500 0.000
0.500 0.000 0.000
0.500 0.500 0.500
0.250 0.250 0.250
0.259 0.740 0.740
0.260 0.260 0.741
0.260 0.741 0.260
0.740 0.259 0.740
0.740 0.740 0.259
0.741 0.260 0.260
0.750 0.750 0.750
```

## Properties
Calculated volume: 29.3 Å³ per atom
SG: R-3m (166)
Total moment: 0.0 μB per cell


(3)
VASP calculation (GGA-PBE) on a geometry-optimized La4PrTm3Se8 structure.

The structure in POSCAR format:
```
La4PrTm3Se8
1.0
4.170 2.408 6.948
-4.170 2.408 6.948
0.000 -4.816 6.948
La Pr Tm Se
4 1 3 8
Direct
0.000 0.000 0.000
0.000 0.500 0.500
0.500 0.000 0.500
0.500 0.500 0.000
0.500 0.500 0.500
0.000 0.000 0.500
0.000 0.500 0.000
0.500 0.000 0.000
0.233 0.749 0.749
0.242 0.242 0.242
0.251 0.251 0.767
0.251 0.767 0.251
0.749 0.233 0.749
0.749 0.749 0.233
0.758 0.758 0.758
0.767 0.251 0.251
```

## Properties
Calculated volume: 26.2 Å³ per atom
SG: R-3m (166)
Total moment: 0.0 μB per cell


(4)
VASP calculation (GGA-PBE) on a geometry-optimized LaPr2Y3Se6 structure.

The structure in POSCAR format:
```
LaPr2Y3Se6
1.0
9.169 -2.069 0.000
9.169 2.069 0.000
-2.170 0.000 8.188
La Pr Y Se
1 2 3 6
Direct
0.000 0.000 0.000
0.332 0.332 0.664
0.668 0.668 0.336
0.000 0.000 0.500
0.333 0.333 0.167
0.667 0.667 0.833
0.163 0.163 0.593
0.171 0.171 0.075
0.497 0.497 0.261
0.503 0.503 0.739
0.829 0.829 0.925
0.837 0.837 0.407
```

## Properties
Calculated volume: 25.9 Å³ per atom
SG: C2/m (12)
Total moment: 0.0 μB per cell


(5)
VASP calculation (GGA-PBE) on a geometry-optimized La4PrY3Se8 structure.

The structure in POSCAR format:
```
La4PrY3Se8
1.0
4.216 2.434 6.923
-4.216 2.434 6.923
0.000 -4.868 6.923
La Pr Y Se
4 1 3 8
Direct
0.000 0.000 0.000
0.000 0.500 0.500
0.500 0.000 0.500
0.500 0.500 0.000
0.500 0.500 0.500
0.000 0.000 0.500
0.000 0.500 0.000
0.500 0.000 0.000
0.238 0.750 0.750
0.244 0.244 0.244
0.250 0.250 0.762
0.250 0.762 0.250
0.750 0.238 0.750
0.750 0.750 0.238
0.756 0.756 0.756
0.762 0.250 0.250
```

## Properties
Calculated volume: 26.6 Å³ per atom
SG: R-3m (166)
Total moment: 0.0 μB per cell


(6)
VASP calculation (GGA-PBE) on a geometry-optimized La2PrY3Se6 structure.

The structure in POSCAR format:
```
La2PrY3Se6
1.0
9.178 -2.073 0.000
9.178 2.073 0.000
-2.148 0.000 8.206
La Pr Y Se
2 1 3 6
Direct
0.166 0.166 0.331
0.834 0.834 0.669
0.500 0.500 0.000
0.166 0.166 0.833
0.500 0.500 0.500
0.834 0.834 0.167
0.004 0.004 0.741
0.330 0.330 0.928
0.337 0.337 0.407
0.663 0.663 0.593
0.670 0.670 0.072
0.996 0.996 0.259
```

## Properties
Calculated volume: 26.0 Å³ per atom
SG: C2/m (12)
Total moment: 0.0 μB per cell


(7)
VASP calculation (GGA-PBE) on a geometry-optimized La3PrY3Se8 structure.

The structure in POSCAR format:
```
La3PrY3Se8
1.0
4.165 2.405 6.928
-4.165 2.405 6.928
0.000 -4.810 6.928
La Pr Y Se
3 1 3 8
Direct
0.000 0.500 0.500
0.500 0.000 0.500
0.500 0.500 0.000
0.500 0.500 0.500
0.000 0.000 0.500
0.000 0.500 0.000
0.500 0.000 0.000
0.233 0.755 0.755
0.244 0.244 0.244
0.245 0.245 0.767
0.245 0.767 0.245
0.755 0.233 0.755
0.755 0.755 0.233
0.756 0.756 0.756
0.767 0.245 0.245
```

## Properties
Calculated volume: 27.8 Å³ per atom
SG: R-3m (166)
Total moment: 0.0 μB per cell


(8)
VASP calculation (GGA-PBE) on a geometry-optimized LaPr3Y2Se6 structure.

The structure in POSCAR format:
```
LaPr3Y2Se6
1.0
3.634 -6.318 0.000
3.634 6.318 0.000
-2.438 0.000 6.918
La Pr Y Se
1 3 2 6
Direct
0.000 0.000 0.000
0.161 0.839 0.500
0.500 0.500 0.500
0.839 0.161 0.500
0.333 0.667 0.000
0.667 0.333 0.000
0.081 0.425 0.242
0.266 0.266 0.765
0.425 0.081 0.242
0.575 0.919 0.758
0.734 0.734 0.235
0.919 0.575 0.758
```

## Properties
Calculated volume: 26.5 Å³ per atom
SG: C2/m (12)
Total moment: 0.0 μB per cell


(9)
VASP calculation (GGA-PBE) on a geometry-optimized LaPr4Y3Se8 structure.

The structure in POSCAR format:
```
LaPr4Y3Se8
1.0
4.184 2.416 6.950
-4.184 2.416 6.950
0.000 -4.831 6.950
La Pr Y Se
1 4 3 8
Direct
0.000 0.000 0.000
0.000 0.000 0.500
0.000 0.500 0.000
0.500 0.000 0.000
0.500 0.500 0.500
0.000 0.500 0.500
0.500 0.000 0.500
0.500 0.500 0.000
0.250 0.250 0.738
0.250 0.738 0.250
0.256 0.256 0.256
0.262 0.750 0.750
0.738 0.250 0.250
0.744 0.744 0.744
0.750 0.262 0.750
0.750 0.750 0.262
```

## Properties
Calculated volume: 26.3 Å³ per atom
SG: R-3m (166)
Total moment: 0.0 μB per cell


(10)
VASP calculation (GGA-PBE) on a geometry-optimized La2PrYSe4 structure.

The structure in POSCAR format:
```
La2PrYSe4
1.0
7.367 0.000 0.000
0.000 4.208 0.000
-2.412 0.000 6.984
La Pr Y Se
2 1 1 4
Direct
0.000 0.000 0.000
0.000 0.500 0.500
0.500 0.000 0.500
0.500 0.500 0.000
0.257 0.500 0.245
0.263 0.000 0.762
0.737 0.000 0.238
0.743 0.500 0.755
```

## Properties
Calculated volume: 27.1 Å³ per atom
SG: P2/m (10)
Total moment: 0.0 μB per cell


(11)
VASP calculation (GGA-PBE) on a geometry-optimized LaPrSi4 structure.

The structure in POSCAR format:
```
LaPrSi4
1.0
-2.167 2.167 6.853
2.167 -2.167 6.853
2.167 2.167 -6.853
La Pr Si
1 1 4
Direct
0.000 0.000 0.000
0.750 0.250 0.500
0.165 0.665 0.500
0.335 0.835 0.500
0.414 0.414 0.000
0.586 0.586 0.000
```

## Properties
Calculated volume: 21.5 Å³ per atom
SG: I-4m2 (119)
Total moment: 0.0 μB per cell


(12)
VASP calculation (GGA-PBE) on a geometry-optimized La3PrSi2 structure.

The structure in POSCAR format:
```
La3PrSi2
1.0
-2.287 2.318 8.393
2.287 -2.318 8.393
2.287 2.318 -8.393
La Pr Si
3 1 2
Direct
0.000 0.000 0.000
0.183 0.683 0.500
0.817 0.317 0.500
0.500 0.500 0.000
0.367 0.867 0.500
0.633 0.133 0.500
```

## Properties
Calculated volume: 29.7 Å³ per atom
SG: Immm (71)
Total moment: 0.0 μB per cell


(13)
VASP calculation (GGA-PBE) on a geometry-optimized LaPr2Si6 structure.

The structure in POSCAR format:
```
LaPr2Si6
1.0
7.191 0.000 0.000
-3.596 6.228 0.000
0.000 0.000 4.256
La Pr Si
1 2 6
Direct
0.000 0.000 0.000
0.333 0.667 0.000
0.667 0.333 0.000
0.000 0.335 0.500
0.000 0.665 0.500
0.335 0.000 0.500
0.335 0.335 0.500
0.665 0.000 0.500
0.665 0.665 0.500
```

## Properties
Calculated volume: 21.2 Å³ per atom
SG: P6/mmm (191)
Total moment: 0.0 μB per cell


(14)
VASP calculation (GGA-PBE) on a geometry-optimized La5Pr5Si6 structure.

The structure in POSCAR format:
```
La5Pr5Si6
1.0
6.792 0.000 0.000
0.000 7.718 4.449
0.000 -7.718 4.449
La Pr Si
5 5 6
Direct
0.000 0.000 0.000
0.252 0.581 0.915
0.252 0.915 0.581
0.748 0.581 0.915
0.748 0.915 0.581
0.000 0.248 0.497
0.000 0.497 0.248
0.500 0.000 0.249
0.500 0.249 0.000
0.500 0.496 0.496
0.000 0.249 0.856
0.000 0.637 0.637
0.000 0.856 0.249
0.500 0.248 0.639
0.500 0.639 0.248
0.500 0.858 0.858
```

## Properties
Calculated volume: 29.2 Å³ per atom
SG: Amm2 (38)
Total moment: 0.0 μB per cell


(15)
VASP calculation (GGA-PBE) on a geometry-optimized LaPrSi structure.

The structure in POSCAR format:
```
LaPrSi
1.0
0.000 3.604 3.604
3.604 0.000 3.604
3.604 3.604 0.000
La Pr Si
1 1 1
Direct
0.000 0.000 0.000
0.500 0.500 0.500
0.250 0.250 0.250
```

## Properties
Calculated volume: 31.2 Å³ per atom
SG: F-43m (216)
Total moment: 0.0 μB per cell
Energy above the most stable polymorph in this dataset: 34 meV/atom


(16)
VASP calculation (GGA-PBE) on a geometry-optimized La3Pr3Si4 structure.

The structure in POSCAR format:
```
La3Pr3Si4
1.0
4.376 0.000 0.000
0.000 5.540 5.619
0.000 -5.540 5.619
La Pr Si
3 3 4
Direct
0.000 0.000 0.000
0.500 0.319 0.832
0.500 0.832 0.319
0.000 0.153 0.506
0.000 0.506 0.153
0.000 0.649 0.649
0.500 0.223 0.223
0.500 0.441 0.441
0.500 0.713 0.932
0.500 0.932 0.713
```

## Properties
Calculated volume: 27.2 Å³ per atom
SG: Amm2 (38)
Total moment: 0.0 μB per cell


(17)
VASP calculation (GGA-PBE) on a geometry-optimized LaPrSi2 structure.

The structure in POSCAR format:
```
LaPrSi2
1.0
3.971 0.000 0.000
0.000 2.271 5.585
0.000 -2.271 5.585
La Pr Si
1 1 2
Direct
0.000 0.000 0.000
0.500 0.719 0.719
0.000 0.288 0.288
0.500 0.427 0.427
```

## Properties
Calculated volume: 25.2 Å³ per atom
SG: Amm2 (38)
Total moment: 0.0 μB per cell
Energy above the most stable polymorph in this dataset: 3 meV/atom


(18)
VASP calculation (GGA-PBE) on a geometry-optimized LaPr3Si2 structure.

The structure in POSCAR format:
```
LaPr3Si2
1.0
8.734 -1.956 0.000
8.734 1.956 0.000
-5.758 0.000 10.355
La Pr Si
2 6 4
Direct
0.148 0.148 0.234
0.852 0.852 0.766
0.151 0.151 0.736
0.422 0.422 0.073
0.423 0.423 0.570
0.577 0.577 0.430
0.578 0.578 0.927
0.849 0.849 0.264
0.232 0.232 0.046
0.233 0.233 0.547
0.767 0.767 0.453
0.768 0.768 0.954
```

## Properties
Calculated volume: 29.5 Å³ per atom
SG: C2/m (12)
Total moment: 0.0 μB per cell


(19)
VASP calculation (GGA-PBE) on a geometry-optimized La3PrSi4 structure.

The structure in POSCAR format:
```
La3PrSi4
1.0
-2.106 3.259 8.290
2.106 -3.259 8.290
2.106 3.259 -8.290
La Pr Si
3 1 4
Direct
0.000 0.000 0.000
0.304 0.804 0.500
0.696 0.196 0.500
0.500 0.500 0.000
0.050 0.370 0.680
0.310 0.630 0.680
0.690 0.370 0.320
0.950 0.630 0.320
```

## Properties
Calculated volume: 28.4 Å³ per atom
SG: Immm (71)
Total moment: 0.0 μB per cell


(20)
VASP calculation (GGA-PBE) on a geometry-optimized La2Pr3Si2 structure.

The structure in POSCAR format:
```
La2Pr3Si2
1.0
6.134 -2.164 0.000
6.134 2.164 0.000
-3.129 0.000 8.095
La Pr Si
2 3 2
Direct
0.155 0.155 0.314
0.845 0.845 0.686
0.369 0.369 0.054
0.500 0.500 0.500
0.631 0.631 0.946
0.169 0.169 0.707
0.831 0.831 0.293
```

## Properties
Calculated volume: 30.7 Å³ per atom
SG: C2/m (12)
Total moment: 0.0 μB per cell


(21)
VASP calculation (GGA-PBE) on a geometry-optimized LaPrSi2 structure.

The structure in POSCAR format:
```
LaPrSi2
1.0
3.994 0.000 0.000
0.000 6.012 0.000
0.000 0.000 8.381
La Pr Si
2 2 4
Direct
0.000 0.136 0.000
0.000 0.864 0.500
0.500 0.364 0.640
0.500 0.636 0.140
0.000 0.370 0.354
0.000 0.630 0.854
0.500 0.135 0.287
0.500 0.865 0.787
```

## Properties
Calculated volume: 25.2 Å³ per atom
SG: Pmc2_1 (26)
Total moment: 0.0 μB per cell
Energy above the most stable polymorph in this dataset: 0 meV/atom


(22)
VASP calculation (GGA-PBE) on a geometry-optimized LaPrSi structure.

The structure in POSCAR format:
```
LaPrSi
1.0
4.366 0.000 0.000
2.160 5.874 0.000
2.178 0.714 6.870
La Pr Si
2 2 2
Direct
0.083 0.193 0.140
0.917 0.807 0.860
0.323 0.277 0.571
0.677 0.723 0.429
0.382 0.586 0.153
0.618 0.414 0.847
```

## Properties
Calculated volume: 29.4 Å³ per atom
SG: P-1 (2)
Total moment: 0.0 μB per cell
Energy above the most stable polymorph in this dataset: 0 meV/atom


Calculated uncorrected formation energy in order - -1.8131 -1.9329 -1.8524 -1.8379 -1.8931 -1.8642 -1.9194 -1.8469 -1.8312 -1.9023 -0.6358 -0.4754 -0.5990 -0.5501 -0.4448 -0.6198 -0.7374 -0.4549 -0.5321 -0.4128 -0.7401 -0.4785 eV per atom